Zr4SO2 | PBE | relaxed

SG: I4/mmm (139)

The structure in CIF format:
```
data_Zr4SO2
_chemical_formula_sum 'Zr4 S1 O2'
_cell_length_a 4.744
_cell_length_b 4.744
_cell_length_c 6.684
_cell_angle_alpha 69.21
_cell_angle_beta 69.21
_cell_angle_gamma 90.00
_space_group_name_H-M_alt 'P 1'
_space_group_IT_number 1
loop_
_space_group_symop_operation_xyz
'x,y,z'
loop_
_atom_site_label
_atom_site_type_symbol
_atom_site_fract_x
_atom_site_fract_y
_atom_site_fract_z
S1 S 0.000 0.000 0.000
O1 O 0.406 0.406 0.188
O2 O 0.594 0.594 0.812
Zr1 Zr 0.239 0.239 0.523
Zr2 Zr 0.761 0.761 0.477
Zr3 Zr 0.000 0.500 0.000
Zr4 Zr 0.500 0.000 0.000
```

=====

Zr2SO | PBE | relaxed

SG: I-42d (122)

The structure in CIF format:
```
data_Zr2SO
_chemical_formula_sum 'Zr4 S2 O2'
_cell_length_a 5.305
_cell_length_b 5.305
_cell_length_c 6.649
_cell_angle_alpha 66.49
_cell_angle_beta 66.49
_cell_angle_gamma 90.00
_space_group_name_H-M_alt 'P 1'
_space_group_IT_number 1
loop_
_space_group_symop_operation_xyz
'x,y,z'
loop_
_atom_site_label
_atom_site_type_symbol
_atom_site_fract_x
_atom_site_fract_y
_atom_site_fract_z
S1 S 0.000 0.000 0.000
S2 S 0.750 0.250 0.500
O1 O 0.500 0.500 0.000
O2 O 0.250 0.750 0.500
Zr1 Zr 0.563 0.125 0.250
Zr2 Zr 0.187 0.625 0.250
Zr3 Zr 0.375 0.437 0.750
Zr4 Zr 0.875 0.813 0.750
```

=====

Zr2SO3 | PBE | relaxed

SG: P-4m2 (115)

The structure in CIF format:
```
data_Zr2SO3
_chemical_formula_sum 'Zr2 S1 O3'
_cell_length_a 3.859
_cell_length_b 3.859
_cell_length_c 5.524
_cell_angle_alpha 90.00
_cell_angle_beta 90.00
_cell_angle_gamma 90.00
_space_group_name_H-M_alt 'P 1'
_space_group_IT_number 1
loop_
_space_group_symop_operation_xyz
'x,y,z'
loop_
_atom_site_label
_atom_site_type_symbol
_atom_site_fract_x
_atom_site_fract_y
_atom_site_fract_z
Zr1 Zr 0.500 0.000 0.781
Zr2 Zr 0.000 0.500 0.219
S1 S 0.500 0.500 0.500
O1 O 0.000 0.000 0.000
O2 O 0.500 0.500 0.000
O3 O 0.000 0.000 0.500
```

=====

ZrSO2 | PBE | relaxed

SG: I-42d (122)

The structure in CIF format:
```
data_ZrSO2
_chemical_formula_sum 'Zr2 S2 O4'
_cell_length_a 6.253
_cell_length_b 6.253
_cell_length_c 6.449
_cell_angle_alpha 61.00
_cell_angle_beta 61.00
_cell_angle_gamma 90.00
_space_group_name_H-M_alt 'P 1'
_space_group_IT_number 1
loop_
_space_group_symop_operation_xyz
'x,y,z'
loop_
_atom_site_label
_atom_site_type_symbol
_atom_site_fract_x
_atom_site_fract_y
_atom_site_fract_z
S1 S 0.500 0.500 0.000
S2 S 0.250 0.750 0.500
O1 O 0.827 0.125 0.250
O2 O 0.923 0.625 0.250
O3 O 0.375 0.173 0.750
O4 O 0.875 0.077 0.750
Zr1 Zr 0.000 0.000 0.000
Zr2 Zr 0.750 0.250 0.500
```

=====

ZrS2O2 | PBE | relaxed

SG: I4/mmm (139)

The structure in CIF format:
```
data_ZrS2O2
_chemical_formula_sum 'Zr1 S2 O2'
_cell_length_a 4.437
_cell_length_b 4.437
_cell_length_c 4.705
_cell_angle_alpha 61.87
_cell_angle_beta 61.87
_cell_angle_gamma 90.00
_space_group_name_H-M_alt 'P 1'
_space_group_IT_number 1
loop_
_space_group_symop_operation_xyz
'x,y,z'
loop_
_atom_site_label
_atom_site_type_symbol
_atom_site_fract_x
_atom_site_fract_y
_atom_site_fract_z
S1 S 0.361 0.361 0.278
S2 S 0.639 0.639 0.722
O1 O 0.750 0.250 0.500
O2 O 0.250 0.750 0.500
Zr1 Zr 0.000 0.000 0.000
```

=====

ZrSO2 | PBE | relaxed

SG: Fm-3m (225)

The structure in CIF format:
```
data_ZrSO2
_chemical_formula_sum 'Zr1 S1 O2'
_cell_length_a 4.029
_cell_length_b 4.029
_cell_length_c 4.029
_cell_angle_alpha 60.00
_cell_angle_beta 60.00
_cell_angle_gamma 60.00
_space_group_name_H-M_alt 'P 1'
_space_group_IT_number 1
loop_
_space_group_symop_operation_xyz
'x,y,z'
loop_
_atom_site_label
_atom_site_type_symbol
_atom_site_fract_x
_atom_site_fract_y
_atom_site_fract_z
S1 S 0.000 0.000 0.000
O1 O 0.250 0.250 0.250
O2 O 0.750 0.750 0.750
Zr1 Zr 0.500 0.500 0.500
```

=====

ZrS2O12 | PBE | relaxed

SG: Fddd (70)

The structure in CIF format:
```
data_ZrS2O12
_chemical_formula_sum 'Zr2 S4 O24'
_cell_length_a 15.312
_cell_length_b 14.591
_cell_length_c 6.297
_cell_angle_alpha 84.35
_cell_angle_beta 71.50
_cell_angle_gamma 24.16
_space_group_name_H-M_alt 'P 1'
_space_group_IT_number 1
loop_
_space_group_symop_operation_xyz
'x,y,z'
loop_
_atom_site_label
_atom_site_type_symbol
_atom_site_fract_x
_atom_site_fract_y
_atom_site_fract_z
Zr1 Zr 0.500 0.500 0.500
Zr2 Zr 0.750 0.750 0.750
S1 S 0.805 0.805 0.195
S2 S 0.195 0.195 0.805
S3 S 0.445 0.445 0.055
S4 S 0.055 0.055 0.445
O1 O 0.899 0.269 0.630
O2 O 0.630 0.202 0.899
O3 O 0.351 0.981 0.620
O4 O 0.620 0.048 0.351
O5 O 0.269 0.899 0.202
O6 O 0.202 0.630 0.269
O7 O 0.981 0.351 0.048
O8 O 0.048 0.620 0.981
O9 O 0.152 0.892 0.561
O10 O 0.561 0.396 0.152
O11 O 0.098 0.358 0.689
O12 O 0.689 0.854 0.098
O13 O 0.892 0.152 0.396
O14 O 0.396 0.561 0.892
O15 O 0.358 0.098 0.854
O16 O 0.854 0.689 0.358
O17 O 0.672 0.461 0.228
O18 O 0.228 0.639 0.672
O19 O 0.578 0.789 0.022
O20 O 0.022 0.611 0.578
O21 O 0.461 0.672 0.639
O22 O 0.639 0.228 0.461
O23 O 0.789 0.578 0.611
O24 O 0.611 0.022 0.789
```

=====

Zr4S5O | PBE | relaxed

SG: C2/m (12)

The structure in CIF format:
```
data_Zr4S5O
_chemical_formula_sum 'Zr4 S5 O1'
_cell_length_a 3.591
_cell_length_b 7.040
_cell_length_c 7.987
_cell_angle_alpha 102.05
_cell_angle_beta 102.99
_cell_angle_gamma 90.00
_space_group_name_H-M_alt 'P 1'
_space_group_IT_number 1
loop_
_space_group_symop_operation_xyz
'x,y,z'
loop_
_atom_site_label
_atom_site_type_symbol
_atom_site_fract_x
_atom_site_fract_y
_atom_site_fract_z
Zr1 Zr 0.654 0.076 0.308
Zr2 Zr 0.998 0.227 0.997
Zr3 Zr 0.346 0.924 0.692
Zr4 Zr 0.002 0.773 0.003
S1 S 0.164 0.335 0.328
S2 S 0.172 0.819 0.344
S3 S 0.828 0.181 0.656
S4 S 0.500 0.500 0.000
S5 S 0.836 0.665 0.672
O1 O 0.500 0.000 0.000
```

=====

ZrS2O9 | PBE | relaxed

SG: P-1 (2)

The structure in CIF format:
```
data_ZrS2O9
_chemical_formula_sum 'Zr2 S4 O18'
_cell_length_a 5.382
_cell_length_b 8.353
_cell_length_c 9.064
_cell_angle_alpha 112.81
_cell_angle_beta 85.95
_cell_angle_gamma 109.82
_space_group_name_H-M_alt 'P 1'
_space_group_IT_number 1
loop_
_space_group_symop_operation_xyz
'x,y,z'
loop_
_atom_site_label
_atom_site_type_symbol
_atom_site_fract_x
_atom_site_fract_y
_atom_site_fract_z
Zr1 Zr 0.184 0.887 0.721
Zr2 Zr 0.816 0.113 0.279
S1 S 0.808 0.168 0.923
S2 S 0.192 0.832 0.077
S3 S 0.360 0.252 0.563
S4 S 0.640 0.748 0.437
O1 O 0.964 0.588 0.606
O2 O 0.036 0.412 0.394
O3 O 0.931 0.313 0.868
O4 O 0.069 0.687 0.132
O5 O 0.476 0.440 0.674
O6 O 0.524 0.560 0.326
O7 O 0.316 0.113 0.634
O8 O 0.684 0.887 0.366
O9 O 0.910 0.783 0.508
O10 O 0.090 0.217 0.492
O11 O 0.472 0.796 0.577
O12 O 0.528 0.204 0.423
O13 O 0.149 0.772 0.898
O14 O 0.851 0.228 0.102
O15 O 0.514 0.084 0.885
O16 O 0.486 0.916 0.115
O17 O 0.914 0.008 0.847
O18 O 0.086 0.992 0.153
```

=====

ZrSO2 | PBE | relaxed

SG: R-3m (166)

The structure in CIF format:
```
data_ZrSO2
_chemical_formula_sum 'Zr1 S1 O2'
_cell_length_a 5.771
_cell_length_b 5.771
_cell_length_c 5.771
_cell_angle_alpha 36.03
_cell_angle_beta 36.03
_cell_angle_gamma 36.03
_space_group_name_H-M_alt 'P 1'
_space_group_IT_number 1
loop_
_space_group_symop_operation_xyz
'x,y,z'
loop_
_atom_site_label
_atom_site_type_symbol
_atom_site_fract_x
_atom_site_fract_y
_atom_site_fract_z
S1 S 0.000 0.000 0.000
O1 O 0.877 0.877 0.877
O2 O 0.123 0.123 0.123
Zr1 Zr 0.500 0.500 0.500
```

=====

Zr7S12O | PBE | relaxed

SG: R-3 (148)

The structure in CIF format:
```
data_Zr7S12O
_chemical_formula_sum 'Zr7 S12 O1'
_cell_length_a 8.112
_cell_length_b 8.112
_cell_length_c 8.112
_cell_angle_alpha 107.51
_cell_angle_beta 107.51
_cell_angle_gamma 107.51
_space_group_name_H-M_alt 'P 1'
_space_group_IT_number 1
loop_
_space_group_symop_operation_xyz
'x,y,z'
loop_
_atom_site_label
_atom_site_type_symbol
_atom_site_fract_x
_atom_site_fract_y
_atom_site_fract_z
Zr1 Zr 0.968 0.654 0.887
Zr2 Zr 0.346 0.113 0.032
Zr3 Zr 0.113 0.032 0.346
Zr4 Zr 0.500 0.500 0.500
Zr5 Zr 0.887 0.968 0.654
Zr6 Zr 0.654 0.887 0.968
Zr7 Zr 0.032 0.346 0.113
S1 S 0.924 0.315 0.771
S2 S 0.685 0.229 0.076
S3 S 0.455 0.151 0.376
S4 S 0.849 0.624 0.545
S5 S 0.229 0.076 0.685
S6 S 0.624 0.545 0.849
S7 S 0.376 0.455 0.151
S8 S 0.771 0.924 0.315
S9 S 0.151 0.376 0.455
S10 S 0.545 0.849 0.624
S11 S 0.315 0.771 0.924
S12 S 0.076 0.685 0.229
O1 O 0.000 0.000 0.000
```

=====

SbO2 | PBE | relaxed

SG: Cm (8)

The structure in CIF format:
```
data_SbO2
_chemical_formula_sum 'Sb4 O8'
_cell_length_a 3.203
_cell_length_b 9.279
_cell_length_c 7.281
_cell_angle_alpha 75.72
_cell_angle_beta 77.30
_cell_angle_gamma 80.06
_space_group_name_H-M_alt 'P 1'
_space_group_IT_number 1
loop_
_space_group_symop_operation_xyz
'x,y,z'
loop_
_atom_site_label
_atom_site_type_symbol
_atom_site_fract_x
_atom_site_fract_y
_atom_site_fract_z
Sb1 Sb 0.346 0.509 0.793
Sb2 Sb 0.862 0.823 0.447
Sb3 Sb 0.173 0.157 0.492
Sb4 Sb 0.636 0.514 0.209
O1 O 0.126 0.388 0.354
O2 O 0.572 0.194 0.656
O3 O 0.480 0.645 0.390
O4 O 0.806 0.674 0.709
O5 O 0.796 0.406 0.997
O6 O 0.244 0.928 0.578
O7 O 0.162 0.620 0.052
O8 O 0.772 0.129 0.322
```

=====

Formation energy (no corrections) / eV/atom: -1.186; -1.558; -2.423; -1.642; 0.077; -1.011; -0.658; -1.657; -1.489; -1.626; -1.506; -1.215